[1]
Below is an optimized crystal structure of Cs2Tl2F5, with properties calculated at the PBE level.

The crystal system is monoclinic. Its raw formation energy is -2.142 eV/atom. For the volume, the calculation gives 459.1 Å³ per cell.

The space group is C2/m (No. 12) and the conventional cell measures 13.964, 5.089 and 7.217 Å, with angles of 90.00, 116.48 and 90.00 degrees. The inequivalent atoms are Cs at (0.113, 0.000, 0.317), Tl at (0.138, 0.500, 0.866), F at (0.000, 0.500, 0.000), F at (0.151, 0.500, 0.549) and F at (0.157, 0.000, 0.912).



[2]
Below is an optimized crystal structure of Cs3Tl2F6, with properties calculated at the PBE level.

The crystal system is tetragonal. Its raw formation energy is -2.270 eV/atom. For the volume, the calculation gives 539.5 Å³ per cell.

The space group is I4/mmm (No. 139) and the conventional cell measures 4.978, 4.978 and 21.771 Å, with angles of 90.00, 90.00 and 90.00 degrees. The inequivalent atoms are Cs at (0.000, 0.000, 0.000), Cs at (0.000, 0.000, 0.181), Tl at (0.000, 0.000, 0.421), F at (0.000, 0.000, 0.314) and F at (0.000, 0.500, 0.088).



[3]
Below is an optimized crystal structure of CsTl4F12, with properties calculated at the PBE level.

The crystal system is cubic. Its raw formation energy is -1.934 eV/atom. For the volume, the calculation gives 717.9 Å³ per cell.

The space group is Im-3 (No. 204) and the conventional cell measures 8.954, 8.954 and 8.954 Å, with angles of 90.00, 90.00 and 90.00 degrees. The inequivalent atoms are Cs at (0.000, 0.000, 0.000), Tl at (0.250, 0.250, 0.250) and F at (0.000, 0.241, 0.247).



[4]
Below is an optimized crystal structure of Cs5TlF8, with properties calculated at the PBE level.

The crystal system is tetragonal. Its raw formation energy is -2.410 eV/atom. For the volume, the calculation gives 633.6 Å³ per cell.

The space group is I-4 (No. 82) and the conventional cell measures 8.474, 8.474 and 8.824 Å, with angles of 90.00, 90.00 and 90.00 degrees. The inequivalent atoms are Cs at (0.000, 0.000, 0.000), Cs at (0.122, 0.747, 0.370), Tl at (0.000, 0.500, 0.750), F at (0.061, 0.655, 0.989) and F at (0.071, 0.753, 0.692).



[5]
Below is an optimized crystal structure of Cs2TlF6, with properties calculated at the PBE level.

The crystal system is cubic. Its raw formation energy is -2.071 eV/atom. For the volume, the calculation gives 824.4 Å³ per cell.

The space group is Fm-3m (No. 225) and the conventional cell measures 9.377, 9.377 and 9.377 Å, with angles of 90.00, 90.00 and 90.00 degrees. The inequivalent atoms are Cs at (0.250, 0.250, 0.250), Tl at (0.000, 0.000, 0.000) and F at (0.000, 0.000, 0.229).



[6]
Below is an optimized crystal structure of CsTlF2, with properties calculated at the PBE level.

The crystal system is tetragonal. Its raw formation energy is -2.158 eV/atom. For the volume, the calculation gives 520.7 Å³ per cell.

The space group is I-42d (No. 122) and the conventional cell measures 6.495, 6.495 and 12.342 Å, with angles of 90.00, 90.00 and 90.00 degrees. The inequivalent atoms are Cs at (0.000, 0.000, 0.000), Tl at (0.000, 0.000, 0.500) and F at (0.218, 0.250, 0.625).



[7]
Below is an optimized crystal structure of CsTlF2, with properties calculated at the PBE level.

The crystal system is trigonal. Its raw formation energy is -2.037 eV/atom. For the volume, the calculation gives 408.4 Å³ per cell.

The space group is R-3m (No. 166, hexagonal axes) and the conventional cell measures 4.3897, 4.3897 and 24.4710 Å, with angles of 90.00, 90.00 and 120.00 degrees. The inequivalent atoms are Cs at (0.0000, 0.0000, 0.0000), Tl at (0.0000, 0.0000, 0.5000) and F at (0.0000, 0.0000, 0.4015).



[8]
Below is an optimized crystal structure of CsTmTl2F6, with properties calculated at the PBE level.

The crystal system is monoclinic. Its raw formation energy is -2.949 eV/atom. For the volume, the calculation gives 449.5 Å³ per cell.

The space group is P2_1/c (No. 14) and the conventional cell measures 6.498, 7.223 and 11.475 Å, with angles of 90.00, 123.42 and 90.00 degrees. The inequivalent atoms are Cs at (0.000, 0.000, 0.000), Tm at (0.500, 0.000, 0.500), Tl at (0.223, 0.032, 0.730), F at (0.188, 0.143, 0.478), F at (0.257, 0.734, 0.900) and F at (0.414, 0.098, 0.300).



[9]
Below is an optimized crystal structure of Cs2TmTlF6, with properties calculated at the PBE level.

The crystal system is cubic. Its raw formation energy is -3.160 eV/atom. For the volume, the calculation gives 917.7 Å³ per cell.

The space group is Fm-3m (No. 225) and the conventional cell measures 9.718, 9.718 and 9.718 Å, with angles of 90.00, 90.00 and 90.00 degrees. The inequivalent atoms are Cs at (0.250, 0.250, 0.250), Tm at (0.000, 0.000, 0.000), Tl at (0.000, 0.000, 0.500) and F at (0.000, 0.000, 0.221).



[10]
Below is an optimized crystal structure of CsUTl2F8, with properties calculated at the PBE level.

The crystal system is trigonal. Its raw formation energy is -2.764 eV/atom. For the volume, the calculation gives 293.4 Å³ per cell.

The space group is P-3m1 (No. 164) and the conventional cell measures 6.0006, 6.0006 and 9.4080 Å, with angles of 90.00, 90.00 and 120.00 degrees. The inequivalent atoms are Cs at (0.0000, 0.0000, 0.0000), U at (0.0000, 0.0000, 0.5000), Tl at (0.3333, 0.6667, 0.2578), F at (0.1590, 0.3180, 0.6357) and F at (0.3333, 0.6667, 0.0190).



[11]
Below is an optimized crystal structure of Cs2UTlF8, with properties calculated at the PBE level.

The crystal system is trigonal. Its raw formation energy is -2.892 eV/atom. For the volume, the calculation gives 280.4 Å³ per cell.

The space group is P-3m1 (No. 164) and the conventional cell measures 5.5107, 5.5107 and 10.6610 Å, with angles of 90.00, 90.00 and 120.00 degrees. The inequivalent atoms are Cs at (0.3333, 0.6667, 0.2060), U at (0.0000, 0.0000, 0.5000), Tl at (0.0000, 0.0000, 0.0000), F at (0.1691, 0.3382, 0.6231) and F at (0.3333, 0.6667, 0.9401).



Asked for total DFT energy (no corrections) across the records above, the calculation gives -35.072 -43.487 -65.655 -55.345 -33.942 -15.594 -15.110 -50.777 -51.378 -65.010 -65.041 eV per formula unit in order.